The following is a DFT calculation (PBE) of a relaxed Li2CaAuSe crystal.

The value obtained for the uncorrected formation energy is -0.78 eV/atom. Its uncorrected energy is -16.47 eV per formula unit.

The space group is P4/mmm (No. 123) and the conventional cell measures 4.705, 4.705 and 5.671 Å, with angles of 90.00, 90.00 and 90.00 degrees. The distinct sites, in fractional coordinates, are Li at (0.000, 0.500, 0.000), Ca at (0.000, 0.000, 0.500), Au at (0.500, 0.500, 0.500) and Se at (0.000, 0.000, 0.000).


The following is a DFT calculation (PBE) of a relaxed GaAu4 crystal.

The energy of formation from the pure elements is -0.3 eV per formula unit. The offset from the most stable computed form is 12 meV per atom. Its uncorrected energy is -16.40 eV per formula unit.

The space group is C2/m (No. 12) and the conventional cell measures 6.524, 8.059 and 7.643 Å, with angles of 90.00, 115.08 and 90.00 degrees. The distinct sites, in fractional coordinates, are Ga at (0.000, 0.194, 0.000), Au at (0.132, 0.500, 0.889), Au at (0.150, 0.182, 0.705) and Au at (0.232, 0.500, 0.558).


The following is a DFT calculation (PBE) of a relaxed LaAgN2 crystal.

The value obtained for the uncorrected formation energy is 0.22 eV/atom. The offset from the most stable computed form is 129 meV per atom. Its uncorrected energy is -23.54 eV per formula unit.

The space group is I-42d (No. 122) and the conventional cell measures 4.823, 4.823 and 12.203 Å, with angles of 90.00, 90.00 and 90.00 degrees. The distinct sites, in fractional coordinates, are La at (0.000, 0.000, 0.000), Ag at (0.000, 0.000, 0.500) and N at (0.215, 0.250, 0.625).


The following is a DFT calculation (PBE) of a relaxed K2TiTlO4 crystal.

The value obtained for the uncorrected formation energy is -1.89 eV/atom. Its uncorrected energy is -47.40 eV per formula unit.

The space group is I-4 (No. 82) and the conventional cell measures 5.820, 5.820 and 9.455 Å, with angles of 90.00, 90.00 and 90.00 degrees. The distinct sites, in fractional coordinates, are K at (0.000, 0.000, 0.000), K at (0.000, 0.500, 0.250), Ti at (0.000, 0.500, 0.750), Tl at (0.000, 0.000, 0.500) and O at (0.165, 0.292, 0.643).


The following is a DFT calculation (PBE) of a relaxed Nb2FePt2 crystal.

The energy of formation from the pure elements is -2.0 eV per formula unit. The offset from the most stable computed form is 0 meV per atom. Its uncorrected energy is -42.70 eV per formula unit.

The space group is C2/m (No. 12) and the conventional cell measures 9.002, 3.819 and 6.330 Å, with angles of 90.00, 133.45 and 90.00 degrees. The distinct sites, in fractional coordinates, are Nb at (0.082, 0.000, 0.302), Fe at (0.000, 0.500, 0.500) and Pt at (0.202, 0.500, 0.109).


The following is a DFT calculation (PBE) of a relaxed Ca2YBiPb crystal.

The energy of formation from the pure elements is 0.9 eV per formula unit. Its uncorrected energy is -17.11 eV per formula unit.

The space group is P4/mmm (No. 123) and the conventional cell measures 5.785, 5.785 and 6.362 Å, with angles of 90.00, 90.00 and 90.00 degrees. The distinct sites, in fractional coordinates, are Ca at (0.000, 0.500, 0.000), Y at (0.000, 0.000, 0.500), Bi at (0.500, 0.500, 0.000) and Pb at (0.500, 0.500, 0.500).


The following is a DFT calculation (PBE) of a relaxed YHf2Ta crystal.

The energy of formation from the pure elements is 1.3 eV per formula unit. The offset from the most stable computed form is 153 meV per atom. Its uncorrected energy is -36.92 eV per formula unit.

The space group is Fm-3m (No. 225) and the conventional cell measures 7.116, 7.116 and 7.116 Å, with angles of 90.00, 90.00 and 90.00 degrees. The distinct sites, in fractional coordinates, are Y at (0.000, 0.000, 0.000), Hf at (0.250, 0.250, 0.250) and Ta at (0.000, 0.000, 0.500).


The following is a DFT calculation (PBE) of a relaxed LiHoNiP2 crystal.

The energy of formation from the pure elements is -3.8 eV per formula unit. Its uncorrected energy is -26.86 eV per formula unit.

The space group is Pmma (No. 51) and the conventional cell measures 5.149, 5.571 and 5.392 Å, with angles of 90.00, 90.00 and 90.00 degrees. The distinct sites, in fractional coordinates, are Li at (0.250, 0.000, 0.096), Ho at (0.250, 0.500, 0.266), Ni at (0.000, 0.000, 0.500) and P at (0.250, 0.259, 0.736).


The following is a DFT calculation (PBE) of a relaxed ZrScCrGe2 crystal.

The energy of formation from the pure elements is 0.9 eV per formula unit. Its uncorrected energy is -32.84 eV per formula unit.

The space group is P4/mmm (No. 123) and the conventional cell measures 4.650, 4.650 and 4.711 Å, with angles of 90.00, 90.00 and 90.00 degrees. The distinct sites, in fractional coordinates, are Zr at (0.000, 0.000, 0.000), Sc at (0.500, 0.500, 0.000), Cr at (0.000, 0.000, 0.500) and Ge at (0.000, 0.500, 0.500).


The following is a DFT calculation (PBE) of a relaxed PmYHo2Se4 crystal.

The value obtained for the uncorrected formation energy is -1.76 eV/atom. Its uncorrected energy is -48.38 eV per formula unit.

The space group is P2/m (No. 10) and the conventional cell measures 7.099, 4.043 and 7.171 Å, with angles of 90.00, 108.77 and 90.00 degrees. The distinct sites, in fractional coordinates, are Pm at (0.000, 0.000, 0.000), Y at (0.500, 0.500, 0.000), Ho at (0.000, 0.500, 0.500), Ho at (0.500, 0.000, 0.500), Se at (0.252, 0.000, 0.743) and Se at (0.258, 0.500, 0.260).


The following is a DFT calculation (PBE) of a relaxed ZrReBRu2 crystal.

The energy of formation from the pure elements is -1.4 eV per formula unit. Its uncorrected energy is -47.66 eV per formula unit.

The space group is P4/mmm (No. 123) and the conventional cell measures 4.151, 4.151 and 4.189 Å, with angles of 90.00, 90.00 and 90.00 degrees. The distinct sites, in fractional coordinates, are Zr at (0.000, 0.000, 0.000), Re at (0.500, 0.500, 0.000), B at (0.500, 0.500, 0.500) and Ru at (0.000, 0.500, 0.500).


The following is a DFT calculation (PBE) of a relaxed PaGa2F11 crystal.

The value obtained for the uncorrected formation energy is -2.97 eV/atom. Its uncorrected energy is -77.72 eV per formula unit.

The space group is Ibam (No. 72) and the conventional cell measures 7.237, 9.460 and 10.939 Å, with angles of 90.00, 90.00 and 90.00 degrees. The distinct sites, in fractional coordinates, are Pa at (0.000, 0.000, 0.250), Ga at (0.127, 0.320, 0.000), F at (0.000, 0.500, 0.000), F at (0.094, 0.188, 0.144), F at (0.141, 0.275, 0.500) and F at (0.233, 0.067, 0.366).